Entry 1:
This record from the Alexandria database describes a relaxed structure of Sr12Ca6Ac. The functional is GGA-PBE.

The magnetic moment comes out at 0.000 μB per atom. The total energy comes out at -1.8545 eV per atom. The value obtained for the formation enthalpy at 0 K is 0.06 eV/atom. The calculation puts the energy above the most stable polymorph in this dataset at 0.000 eV per atom.

a = 9.9674 Å, b = 9.9674 Å, c = 9.9674 Å
α = 89.13°, β = 89.13°, γ = 89.13°
Last column: nearest neighbours and their distance in Å.
Positions (direct):
Sr 0.0258 0.3035 0.9321  4 Ca 4.04-4.26, 5 Sr 4.08-4.39
Sr 0.0679 0.9742 0.6965  4 Ca 4.04-4.26, 5 Sr 4.08-4.39
Sr 0.1281 0.3485 0.4673  5 Sr 3.98-4.39, 1 Ac 4.04, 5 Ca 4.06-4.34
Sr 0.3035 0.9321 0.0258  4 Ca 4.04-4.26, 5 Sr 4.08-4.39
Sr 0.3485 0.4673 0.1281  5 Sr 3.98-4.39, 1 Ac 4.04, 5 Ca 4.06-4.34
Sr 0.4673 0.1281 0.3485  5 Sr 3.98-4.39, 1 Ac 4.04, 5 Ca 4.06-4.34
Sr 0.5327 0.8719 0.6515  5 Sr 3.98-4.39, 1 Ac 4.04, 5 Ca 4.06-4.34
Sr 0.6515 0.5327 0.8719  5 Sr 3.98-4.39, 1 Ac 4.04, 5 Ca 4.06-4.34
Sr 0.6965 0.0679 0.9742  4 Ca 4.04-4.26, 5 Sr 4.08-4.39
Sr 0.8719 0.6515 0.5327  5 Sr 3.98-4.39, 1 Ac 4.04, 5 Ca 4.06-4.34
Sr 0.9321 0.0258 0.3035  4 Ca 4.04-4.26, 5 Sr 4.08-4.39
Sr 0.9742 0.6965 0.0679  4 Ca 4.04-4.26, 5 Sr 4.08-4.39
Ca 0.2376 0.6092 0.7614  1 Ac 3.82, 2 Ca 3.98, 7 Sr 4.04-4.26
Ca 0.2386 0.7624 0.3908  1 Ac 3.82, 2 Ca 3.98, 7 Sr 4.04-4.26
Ca 0.3908 0.2386 0.7624  1 Ac 3.82, 2 Ca 3.98, 7 Sr 4.04-4.26
Ca 0.6092 0.7614 0.2376  1 Ac 3.82, 2 Ca 3.98, 7 Sr 4.04-4.26
Ca 0.7614 0.2376 0.6092  1 Ac 3.82, 2 Ca 3.98, 7 Sr 4.04-4.26
Ca 0.7624 0.3908 0.2386  1 Ac 3.82, 2 Ca 3.98, 7 Sr 4.04-4.26
Ac 0.5000 0.5000 0.5000  6 Ca 3.82, 6 Sr 4.04

Entry 2:
This record from the Alexandria database describes a relaxed structure of SrCaAc2. The functional is GGA-PBE.

The magnetic moment comes out at 0.000 μB per atom. The total energy comes out at -2.9537 eV per atom. The value obtained for the formation enthalpy at 0 K is 0.02 eV/atom. The calculation puts the energy above the most stable polymorph in this dataset at 0.000 eV per atom.

a = 5.6969 Å, b = 5.6970 Å, c = 11.4883 Å
α = 90.00°, β = 90.00°, γ = 90.00°
Last column: nearest neighbours and their distance in Å.
Positions (direct):
Sr 0.2500 0.0000 0.1288  6 Ca 4.03-4.12, 4 Ac 4.09-4.11, 2 Sr 4.11
Sr 0.7500 0.0000 0.8712  6 Ca 4.03-4.12, 4 Ac 4.09-4.11, 2 Sr 4.11
Ca 0.2500 0.5000 0.8696  6 Sr 4.03-4.12, 4 Ac 4.08-4.09, 2 Ca 4.13
Ca 0.7500 0.5000 0.1304  6 Sr 4.03-4.12, 4 Ac 4.08-4.09, 2 Ca 4.13
Ac 0.2500 0.0000 0.6136  8 Ac 3.86-4.03, 2 Ca 4.09, 2 Sr 4.11
Ac 0.2500 0.5000 0.3843  8 Ac 3.88-4.03, 2 Ca 4.08, 2 Sr 4.09
Ac 0.7500 0.0000 0.3864  8 Ac 3.86-4.03, 2 Ca 4.09, 2 Sr 4.11
Ac 0.7500 0.5000 0.6157  8 Ac 3.88-4.03, 2 Ca 4.08, 2 Sr 4.09

Entry 3:
This record from the Alexandria database describes a relaxed structure of Sr6CaAc. The functional is GGA-PBE.

The magnetic moment comes out at 0.000 μB per atom. The total energy comes out at -1.7568 eV per atom. The value obtained for the formation enthalpy at 0 K is 0.27 eV/atom. The calculation puts the energy above the most stable polymorph in this dataset at 0.179 eV per atom.

a = 6.9641 Å, b = 6.9641 Å, c = 10.7910 Å
α = 104.03°, β = 104.03°, γ = 70.49°
Last column: nearest neighbours and their distance in Å.
Positions (direct):
Sr 0.0488 0.5579 0.1965  1 Ca 3.95, 5 Sr 3.95-4.31, 2 Ac 4.03
Sr 0.1347 0.1347 0.4221  5 Sr 3.91-4.31, 1 Ca 3.99, 1 Ac 4.35
Sr 0.4421 0.9512 0.8035  1 Ca 3.95, 5 Sr 3.95-4.31, 2 Ac 4.03
Sr 0.5579 0.0488 0.1965  1 Ca 3.95, 5 Sr 3.95-4.31, 2 Ac 4.03
Sr 0.8653 0.8653 0.5779  5 Sr 3.91-4.31, 1 Ca 3.99, 1 Ac 4.35
Sr 0.9512 0.4421 0.8035  1 Ca 3.95, 5 Sr 3.95-4.31, 2 Ac 4.03
Ca 0.5000 0.5000 0.5000  6 Sr 3.95-3.99
Ac 0.0000 0.0000 0.0000  10 Sr 4.03-4.35

Entry 4:
This record from the Alexandria database describes a relaxed structure of Sr2CaAc. The functional is GGA-PBE.

The magnetic moment comes out at 0.000 μB per atom. The total energy comes out at -2.3193 eV per atom. The value obtained for the formation enthalpy at 0 K is 0.05 eV/atom. The calculation puts the energy above the most stable polymorph in this dataset at 0.000 eV per atom.

a = 13.6782 Å, b = 13.6782 Å, c = 13.6782 Å
α = 17.09°, β = 17.09°, γ = 17.09°
Last column: nearest neighbours and their distance in Å.
Positions (direct):
Sr 0.0000 0.0000 0.0000  6 Sr 4.07, 3 Ca 4.10, 3 Ac 4.12
Sr 0.1661 0.1661 0.1661  6 Sr 4.07, 3 Ca 4.09, 3 Ac 4.12
Ca 0.4164 0.4164 0.4164  6 Ca 4.07, 6 Sr 4.09-4.10
Ac 0.5830 0.5830 0.5830  6 Ac 4.07, 6 Sr 4.12

Entry 5:
This record from the Alexandria database describes a relaxed structure of Sr2Ca5Ac. The functional is GGA-PBE.

The magnetic moment comes out at 0.000 μB per atom. The total energy comes out at -2.0408 eV per atom. The value obtained for the formation enthalpy at 0 K is 0.14 eV/atom. The calculation puts the energy above the most stable polymorph in this dataset at 0.110 eV per atom.

a = 10.1984 Å, b = 10.1984 Å, c = 10.1984 Å
α = 122.00°, β = 122.00°, γ = 86.57°
Last column: nearest neighbours and their distance in Å.
Positions (direct):
Sr 0.1515 0.6515 0.8029  8 Ca 3.74-3.88
Sr 0.3485 0.1515 0.5000  8 Ca 3.74-3.88
Sr 0.6515 0.8485 0.5000  8 Ca 3.74-3.88
Sr 0.8485 0.3485 0.1971  8 Ca 3.74-3.88
Ca 0.0000 0.0000 0.0000  2 Ac 3.71, 4 Sr 3.76
Ca 0.0189 0.8173 0.5000  3 Ca 3.72-3.82, 3 Sr 3.74-3.88, 2 Ac 3.96
Ca 0.1827 0.6827 0.2015  3 Ca 3.72-3.82, 3 Sr 3.74-3.88, 2 Ac 3.96
Ca 0.3173 0.5189 0.5000  3 Ca 3.72-3.82, 3 Sr 3.74-3.88, 2 Ac 3.96
Ca 0.4811 0.9811 0.7985  3 Ca 3.72-3.82, 3 Sr 3.74-3.88, 2 Ac 3.96
Ca 0.5000 0.5000 0.0000  2 Ac 3.71, 4 Sr 3.76
Ca 0.5189 0.0189 0.2015  3 Ca 3.72-3.82, 3 Sr 3.74-3.88, 2 Ac 3.96
Ca 0.6827 0.4811 0.5000  3 Ca 3.72-3.82, 3 Sr 3.74-3.88, 2 Ac 3.96
Ca 0.8173 0.3173 0.7985  3 Ca 3.72-3.82, 3 Sr 3.74-3.88, 2 Ac 3.96
Ca 0.9811 0.1827 0.5000  3 Ca 3.72-3.82, 3 Sr 3.74-3.88, 2 Ac 3.96
Ac 0.2500 0.2500 0.0000  10 Ca 3.71-3.96
Ac 0.7500 0.7500 0.0000  10 Ca 3.71-3.96

Entry 6:
This record from the Alexandria database describes a relaxed structure of Sr2CaAc. The functional is GGA-PBE.

The magnetic moment comes out at 0.012 μB per atom. The total energy comes out at -2.2632 eV per atom. The value obtained for the formation enthalpy at 0 K is 0.11 eV/atom. The calculation puts the energy above the most stable polymorph in this dataset at 0.056 eV per atom.

a = 5.6592 Å, b = 5.6592 Å, c = 6.0665 Å
α = 90.00°, β = 90.00°, γ = 90.00°
Last column: nearest neighbours and their distance in Å.
Positions (direct):
Sr 0.0000 0.5000 0.0000  4 Sr 4.00, 4 Ac 4.15, 4 Ca 4.15
Sr 0.5000 0.0000 0.0000  4 Sr 4.00, 4 Ac 4.15, 4 Ca 4.15
Ca 0.0000 0.0000 0.5000  4 Ac 4.00, 8 Sr 4.15
Ac 0.5000 0.5000 0.5000  4 Ca 4.00, 8 Sr 4.15

Entry 7:
This record from the Alexandria database describes a relaxed structure of SrCa2Ac. The functional is GGA-PBE.

The magnetic moment comes out at 0.000 μB per atom. The total energy comes out at -2.3899 eV per atom. The value obtained for the formation enthalpy at 0 K is 0.06 eV/atom. The calculation puts the energy above the most stable polymorph in this dataset at 0.026 eV per atom.

a = 6.3478 Å, b = 6.3478 Å, c = 6.3478 Å
α = 60.00°, β = 60.00°, γ = 60.00°
Last column: nearest neighbours and their distance in Å.
Positions (direct):
Sr 0.0000 0.0000 0.0000  8 Ca 3.89
Ca 0.2500 0.2500 0.2500  4 Ac 3.89, 4 Sr 3.89
Ca 0.7500 0.7500 0.7500  4 Ac 3.89, 4 Sr 3.89
Ac 0.5000 0.5000 0.5000  8 Ca 3.89

Entry 8:
This record from the Alexandria database describes a relaxed structure of Sr4Ca2Ac. The functional is GGA-PBE.

The magnetic moment comes out at 0.000 μB per atom. The total energy comes out at -2.0666 eV per atom. The value obtained for the formation enthalpy at 0 K is 0.05 eV/atom.

a = 9.9417 Å, b = 9.9417 Å, c = 9.9417 Å
α = 38.33°, β = 38.33°, γ = 38.33°
Last column: nearest neighbours and their distance in Å.
Positions (direct):
Sr 0.0729 0.0729 0.0729  5 Sr 3.96-4.02, 3 Ca 4.00
Sr 0.2167 0.2167 0.2167  1 Ca 3.90, 4 Sr 3.96-3.97, 3 Ac 4.01
Sr 0.7833 0.7833 0.7833  1 Ca 3.90, 4 Sr 3.96-3.97, 3 Ac 4.01
Sr 0.9271 0.9271 0.9271  5 Sr 3.96-4.02, 3 Ca 4.00
Ca 0.3581 0.3581 0.3581  4 Sr 3.90-4.00, 1 Ac 3.92, 3 Ca 4.01
Ca 0.6419 0.6419 0.6419  4 Sr 3.90-4.00, 1 Ac 3.92, 3 Ca 4.01
Ac 0.5000 0.5000 0.5000  2 Ca 3.92, 6 Sr 4.01

Entry 9:
This record from the Alexandria database describes a relaxed structure of Sr2CaAc. The functional is GGA-PBE.

The magnetic moment comes out at 0.000 μB per atom. The total energy comes out at -2.1955 eV per atom. The value obtained for the formation enthalpy at 0 K is 0.17 eV/atom. The calculation puts the energy above the most stable polymorph in this dataset at 0.124 eV per atom.

a = 14.6058 Å, b = 14.6058 Å, c = 14.6058 Å
α = 15.61°, β = 15.61°, γ = 15.61°
Last column: nearest neighbours and their distance in Å.
Positions (direct):
Sr 0.0895 0.0895 0.0895  1 Ac 3.87, 6 Sr 3.97, 3 Ca 4.05
Sr 0.9105 0.9105 0.9105  1 Ac 3.87, 6 Sr 3.97, 3 Ca 4.05
Ca 0.5000 0.5000 0.5000  6 Ca 3.97, 6 Sr 4.05
Ac 0.0000 0.0000 0.0000  2 Sr 3.87, 6 Ac 3.97

Entry 10:
This record from the Alexandria database describes a relaxed structure of SrCa2Ac5. The functional is GGA-PBE.

The magnetic moment comes out at 0.000 μB per atom. The total energy comes out at -3.2235 eV per atom. The value obtained for the formation enthalpy at 0 K is 0.05 eV/atom.

a = 8.0223 Å, b = 16.0507 Å, c = 5.5806 Å
α = 90.00°, β = 90.00°, γ = 90.00°
Last column: nearest neighbours and their distance in Å.
Positions (direct):
Sr 0.0000 0.0000 0.0000  4 Ca 3.97, 8 Ac 4.01-4.08
Sr 0.5000 0.5000 0.0000  4 Ca 3.97, 8 Ac 4.01-4.08
Ca 0.2478 0.1255 0.5000  10 Ac 3.92-4.09, 2 Sr 3.97
Ca 0.2522 0.6255 0.5000  10 Ac 3.92-4.09, 2 Sr 3.97
Ca 0.7478 0.3745 0.5000  10 Ac 3.92-4.09, 2 Sr 3.97
Ca 0.7522 0.8745 0.5000  10 Ac 3.92-4.09, 2 Sr 3.97
Ac 0.0000 0.5000 0.0000  6 Ac 3.94-3.96, 4 Ca 3.99, 2 Sr 4.01
Ac 0.0076 0.7456 0.0000  7 Ac 3.90-4.01, 4 Ca 3.92-4.03, 1 Sr 4.08
Ac 0.2382 0.3711 0.5000  6 Ac 3.90-4.00, 4 Ca 3.94-4.09, 2 Sr 4.06
Ac 0.2618 0.8711 0.5000  6 Ac 3.90-4.00, 4 Ca 3.94-4.09, 2 Sr 4.06
Ac 0.4924 0.2456 0.0000  7 Ac 3.90-4.01, 4 Ca 3.92-4.03, 1 Sr 4.08
Ac 0.5000 0.0000 0.0000  6 Ac 3.94-3.96, 4 Ca 3.99, 2 Sr 4.01
Ac 0.5076 0.7544 0.0000  7 Ac 3.90-4.01, 4 Ca 3.92-4.03, 1 Sr 4.08
Ac 0.7382 0.1289 0.5000  6 Ac 3.90-4.00, 4 Ca 3.94-4.09, 2 Sr 4.06
Ac 0.7618 0.6289 0.5000  6 Ac 3.90-4.00, 4 Ca 3.94-4.09, 2 Sr 4.06
Ac 0.9924 0.2544 0.0000  7 Ac 3.90-4.01, 4 Ca 3.92-4.03, 1 Sr 4.08

Entry 11:
This record from the Alexandria database describes a relaxed structure of Sr7Ca5Ac. The functional is GGA-PBE.

The magnetic moment comes out at 0.002 μB per atom. The total energy comes out at -1.8757 eV per atom. The value obtained for the formation enthalpy at 0 K is 0.12 eV/atom.

a = 10.2070 Å, b = 10.2070 Å, c = 10.2070 Å
α = 137.18°, β = 100.70°, γ = 94.63°
Last column: nearest neighbours and their distance in Å.
Positions (direct):
Sr 0.0000 0.0000 0.0000  3 Sr 3.93-4.03, 4 Ca 4.08
Sr 0.2838 0.2838 0.0000  1 Sr 3.93, 6 Ca 4.01-4.18, 1 Ac 4.09
Sr 0.3155 0.6555 0.6600  5 Ca 4.08-4.23, 4 Sr 4.17-4.26, 1 Ac 4.55
Sr 0.4730 0.1538 0.3192  5 Ca 3.95-4.12, 3 Sr 4.03-4.26
Sr 0.8346 0.1538 0.6808  5 Ca 3.95-4.12, 3 Sr 4.03-4.26
Sr 0.8897 0.3897 0.5000  4 Ca 3.86, 6 Sr 4.03-4.23
Sr 0.9955 0.6555 0.3400  5 Ca 4.08-4.23, 4 Sr 4.17-4.26, 1 Ac 4.55
Ca 0.1697 0.1644 0.5151  3 Ca 3.65-3.80, 5 Sr 3.86-4.08
Ca 0.1697 0.6546 0.0053  3 Ca 3.65-3.80, 5 Sr 3.86-4.08
Ca 0.4215 0.9215 0.5000  4 Ca 3.66, 2 Sr 3.99
Ca 0.6493 0.1644 0.9947  3 Ca 3.65-3.80, 5 Sr 3.86-4.08
Ca 0.6493 0.6546 0.4849  3 Ca 3.65-3.80, 5 Sr 3.86-4.08
Ac 0.5795 0.5795 0.0000  7 Sr 4.09-4.55, 6 Ca 4.32

Entry 12:
This record from the Alexandria database describes a relaxed structure of SrCa2Ac. The functional is GGA-PBE.

The magnetic moment comes out at 0.000 μB per atom. The total energy comes out at -2.4154 eV per atom. The value obtained for the formation enthalpy at 0 K is 0.03 eV/atom. The calculation puts the energy above the most stable polymorph in this dataset at 0.000 eV per atom.

a = 13.3076 Å, b = 13.3076 Å, c = 13.3076 Å
α = 17.26°, β = 17.26°, γ = 17.26°
Last column: nearest neighbours and their distance in Å.
Positions (direct):
Sr 0.0000 0.0000 0.0000  6 Sr 3.99, 6 Ca 4.06
Ca 0.2484 0.2484 0.2484  3 Ac 3.96, 6 Ca 3.99, 3 Sr 4.06
Ca 0.7516 0.7516 0.7516  3 Ac 3.96, 6 Ca 3.99, 3 Sr 4.06
Ac 0.5000 0.5000 0.5000  6 Ca 3.96, 6 Ac 3.99